First-principles (GGA-PBE) data for an optimized crystal structure of LuTeRh2, as listed in Alexandria via LeMat-Bulk.

a b c (Å): 4.408 4.408 3.767
angles (deg): 90.00 90.00 90.00
Space group P4/mmm (No. 123)
Unique sites:
Lu: 0.000 0.000 0.000 x1
Te: 0.500 0.500 0.000 x1
Rh: 0.000 0.500 0.500 x2

Results
The volume comes out at 73.2 Å³/cell. The total energy comes out at -6.25 eV/atom. The calculation puts the formation energy from raw total energies at -0.65 eV per atom. For the total magnetization, the calculation gives 0.0 μB per formula unit.